(1)
Compound: TiTcNO2
Source: Alexandria
Functional: PBE
Structure: optimized geometry

Properties
- E_tot: -7.846 eV/atom
- ΔE_f (raw): -2.7 eV/f.u.

Cell: 3.8650 3.8650 3.8612 Å, 90.00 90.00 90.00°
Atoms (fractional coordinates):
Tc  0.0000  0.0000  0.0000
O  0.0000  0.5000  0.0000
O  0.5000  0.0000  0.0000
N  0.0000  0.0000  0.5000
Ti  0.5000  0.5000  0.5000



(2)
Compound: TiTcNO2
Source: Alexandria
Functional: PBE
Structure: optimized geometry

Properties
- E_tot: -8.001 eV/atom
- ΔE_f (raw): -3.5 eV/f.u.

Cell: 3.7577 3.7577 4.1649 Å, 90.00 90.00 90.00°
Last column: magnetic moment on the atom in μB.
Atoms (fractional coordinates):
O  0.0000  0.5000  0.0000  0.07
O  0.5000  0.0000  0.0000  0.07
Ti  0.0000  0.0000  0.0000  0.04
Tc  0.5000  0.5000  0.5000  3.57
N  0.0000  0.0000  0.5000  -0.09



(3)
Compound: TiTcN2O
Source: Alexandria
Functional: PBE
Structure: optimized geometry

Properties
- E_tot: -8.032 eV/atom
- ΔE_f (raw): -0.3 eV/f.u.

Cell: 3.8635 3.8635 3.8308 Å, 90.00 90.00 90.00°
Atoms (fractional coordinates):
O  0.0000  0.0000  0.5000
Ti  0.5000  0.5000  0.5000
N  0.5000  0.0000  0.0000
Tc  0.0000  0.0000  0.0000
N  0.0000  0.5000  0.0000



(4)
Compound: TlTcNO2
Source: Alexandria
Functional: PBE
Structure: optimized geometry

Properties
- E_tot: -4.883 eV/atom
- ΔE_f (raw): 6.6 eV/f.u.

Cell: 4.2073 4.2073 4.2889 Å, 90.00 90.00 90.00°
Last column: magnetic moment on the atom in μB.
Atoms (fractional coordinates):
O  0.5000  0.0000  0.0000  0.05
Tl  0.0000  0.0000  0.0000  0.00
O  0.0000  0.5000  0.0000  0.05
Tc  0.5000  0.5000  0.5000  3.92
N  0.0000  0.0000  0.5000  -0.38



(5)
Compound: TlTcNO2
Source: Alexandria
Functional: PBE
Structure: optimized geometry

Properties
- E_tot: -6.662 eV/atom
- ΔE_f (raw): -2.3 eV/f.u.

Cell: 3.9893 3.9893 3.9781 Å, 90.00 90.00 90.00°
Atoms (fractional coordinates):
Tc  0.0000  0.0000  0.0000
O  0.0000  0.5000  0.0000
Tl  0.5000  0.5000  0.5000
O  0.5000  0.0000  0.0000
N  0.0000  0.0000  0.5000